P: relaxed, GGA-PBEsol.

Cell: 9.1601 9.0949 22.1988 Å, 90.00 105.98 90.00°
Atoms (fractional coordinates):
1 P 0.0014 0.1555 0.4579
2 P 0.0014 0.8445 0.9579
3 P 0.0419 0.3882 0.0700
4 P 0.0419 0.6118 0.5700
5 P 0.0511 0.0561 0.6803
6 P 0.0511 0.9439 0.1803
7 P 0.0543 0.3212 0.3003
8 P 0.0543 0.6788 0.8003
9 P 0.0719 0.2232 0.8855
10 P 0.0719 0.7768 0.3855
11 P 0.1405 0.0972 0.3264
12 P 0.1405 0.9028 0.8264
13 P 0.1485 0.3867 0.1715
14 P 0.1485 0.6133 0.6715
15 P 0.1746 0.0282 0.1152
16 P 0.1746 0.9718 0.6152
17 P 0.2008 0.3295 0.8276
18 P 0.2008 0.6705 0.3276
19 P 0.2125 0.1356 0.4283
20 P 0.2125 0.8644 0.9283
21 P 0.2487 0.0947 0.9582
22 P 0.2487 0.9053 0.4582
23 P 0.2524 0.3974 0.0407
24 P 0.2524 0.6026 0.5407
25 P 0.3028 0.1964 0.1806
26 P 0.3028 0.8036 0.6806
27 P 0.3081 0.4947 0.8987
28 P 0.3081 0.5053 0.3987
29 P 0.3093 0.3705 0.5624
30 P 0.3093 0.6295 0.0624
31 P 0.4009 0.1838 0.8325
32 P 0.4009 0.8162 0.3325
33 P 0.4222 0.3638 0.6656
34 P 0.4222 0.6362 0.1656
35 P 0.4268 0.2691 0.1140
36 P 0.4268 0.7309 0.6140
37 P 0.4284 0.4394 0.3295
38 P 0.4284 0.5606 0.8295
39 P 0.4626 0.1351 0.9349
40 P 0.4626 0.8649 0.4349
41 P 0.4842 0.3632 0.9704
42 P 0.4842 0.6368 0.4704
43 P 0.5158 0.3632 0.5296
44 P 0.5158 0.6368 0.0296
45 P 0.5374 0.1351 0.5651
46 P 0.5374 0.8649 0.0651
47 P 0.5716 0.4394 0.1705
48 P 0.5716 0.5606 0.6705
49 P 0.5732 0.2691 0.3860
50 P 0.5732 0.7309 0.8860
51 P 0.5778 0.3638 0.8344
52 P 0.5778 0.6362 0.3344
53 P 0.5991 0.1838 0.6675
54 P 0.5991 0.8162 0.1675
55 P 0.6907 0.3705 0.9376
56 P 0.6907 0.6295 0.4376
57 P 0.6919 0.4947 0.6013
58 P 0.6919 0.5053 0.1013
59 P 0.6972 0.1964 0.3194
60 P 0.6972 0.8036 0.8194
61 P 0.7476 0.3974 0.4593
62 P 0.7476 0.6026 0.9593
63 P 0.7513 0.0947 0.5418
64 P 0.7513 0.9053 0.0418
65 P 0.7875 0.1356 0.0717
66 P 0.7875 0.8644 0.5717
67 P 0.7992 0.3295 0.6724
68 P 0.7992 0.6705 0.1724
69 P 0.8254 0.0282 0.3848
70 P 0.8254 0.9718 0.8848
71 P 0.8515 0.3867 0.3285
72 P 0.8515 0.6133 0.8285
73 P 0.8595 0.0972 0.1736
74 P 0.8595 0.9028 0.6736
75 P 0.9281 0.2232 0.6145
76 P 0.9281 0.7768 0.1145
77 P 0.9457 0.3212 0.1997
78 P 0.9457 0.6788 0.6997
79 P 0.9489 0.0561 0.8197
80 P 0.9489 0.9439 0.3197
81 P 0.9581 0.3882 0.4300
82 P 0.9581 0.6118 0.9300
83 P 0.9986 0.1555 0.0421
84 P 0.9986 0.8445 0.5421

Symmetry: P2/c, No. 13
Distance to the lowest polymorph of the same formula in kJ/mol of atoms: 3.3
Energy of formation in meV per atom: 34.2
Total magnetic moment in μB/atom: 0.0000

***

Pa3P4: relaxed, GGA-PBEsol.

Cell: 7.0859 7.0859 7.0859 Å, 109.47 109.47 109.47°
Atoms (fractional coordinates):
1 Pa 0.1250 0.8750 0.2500
2 Pa 0.2500 0.1250 0.8750
3 Pa 0.3750 0.6250 0.7500
4 Pa 0.6250 0.7500 0.3750
5 Pa 0.7500 0.3750 0.6250
6 Pa 0.8750 0.2500 0.1250
7 P 0.0000 0.1602 0.5000
8 P 0.0000 0.6602 0.5000
9 P 0.1602 0.5000 0.0000
10 P 0.3398 0.3398 0.3398
11 P 0.5000 0.0000 0.1602
12 P 0.5000 0.0000 0.6602
13 P 0.6602 0.5000 0.0000
14 P 0.8398 0.8398 0.8398

Symmetry: I-43d, No. 220
Energy of formation in meV per atom: -1267.3
Total magnetic moment in μB/atom: 0.0000

***

PPb3: relaxed, GGA-PBEsol.

Cell: 3.5477 3.5477 8.2120 Å, 90.00 90.00 90.00°
Atoms (fractional coordinates):
1 P 0.0000 0.0000 0.0000
2 Pb 0.0000 0.0000 0.5000
3 Pb 0.5000 0.5000 0.2031
4 Pb 0.5000 0.5000 0.7969

Symmetry: P4/mmm, No. 123
Distance to the lowest polymorph of the same formula in kJ/mol of atoms: 2.2
Energy of formation in meV per atom: 166.8
Total magnetic moment in μB/atom: 0.0000

***

PPb2: relaxed, GGA-PBEsol.

Cell: 3.9390 3.9390 5.9441 Å, 90.00 90.00 120.00°
Atoms (fractional coordinates):
1 P 0.0000 0.0000 0.0000
2 Pb 0.3333 0.6667 0.2814
3 Pb 0.6667 0.3333 0.7186

Symmetry: P-3m1, No. 164
Energy of formation in meV per atom: 90.7
Total magnetic moment in μB/atom: 0.0000